# K5Sb4

A PBEsol-optimized structure of K5Sb4 (meta-GGA SCAN, Alexandria via LeMat-Bulk).

Cell: 5.4296 6.7176 10.9306 Å, 74.48 75.62 66.16°
Closest atoms and distances in Å follow each position.
Positions (direct):
Sb (0.5440, 0.7376, 0.1745)  1 Sb 2.80
Sb (0.4560, 0.2624, 0.8255)  1 Sb 2.80
Sb (0.6061, 0.3966, 0.3912)  2 Sb 2.80-2.83
Sb (0.3939, 0.6034, 0.6088)  2 Sb 2.80-2.83
K (0.8996, 0.8096, 0.3911)  7 Sb 3.61-3.72
K (0.1004, 0.1904, 0.6089)  7 Sb 3.61-3.72
K (0.2456, 0.3431, 0.1657)  6 Sb 3.65-3.73, 4 K 4.04-4.09
K (0.7544, 0.6569, 0.8343)  6 Sb 3.65-3.73, 4 K 4.04-4.09
K (0.0000, 0.0000, 0.0000)  4 Sb 3.50

Summary:
Calculated volume (Å³/atom): 38.5
Uncorrected energy (Ry per atom): -1.596